An optimized crystal structure of BaCdSe3. Source: Alexandria via LeMat-Bulk, functional PBE.

Energy relative to the elements, uncorrected   -0.698 eV/atom
SG   Pm-3m (221)
Energy relative to the lowest polymorph listed for this composition   0.0000 eV per atom
VASP energy   -3.36 eV/atom

abc: 5.3198 5.3198 5.3198
angles: 90.00 90.00 90.00
Last column: nearest neighbours and their distance in Å.
Fractional positions:
1 Ba 0.0000 0.0000 0.0000  12 Se 3.76
2 Cd 0.5000 0.5000 0.5000  6 Se 2.66
3 Se 0.0000 0.5000 0.5000  2 Cd 2.66
4 Se 0.5000 0.0000 0.5000  2 Cd 2.66
5 Se 0.5000 0.5000 0.0000  2 Cd 2.66